# TmAgMoO5 (GGA+U, relaxed)
# * SG: C2/c (15)
# * E_tot: -6.8224 eV/atom
data_TmAgMoO5
_chemical_formula_sum 'Tm2 Ag2 Mo2 O10'
_cell_length_a 6.221
_cell_length_b 6.221
_cell_length_c 8.332
_cell_angle_alpha 108.95
_cell_angle_beta 108.95
_cell_angle_gamma 93.62
_symmetry_space_group_name_H-M 'P 1'
_symmetry_Int_Tables_number 1
_symmetry_space_group_name_Hall 'P 1'
loop_
_atom_site_label
_atom_site_type_symbol
_atom_site_fract_x
_atom_site_fract_y
_atom_site_fract_z
_atom_site_occupancy
Tm1 Tm 0.000 0.000 0.000 1
Tm2 Tm 0.000 0.000 0.500 1
Ag1 Ag 0.296 0.704 0.750 1
Ag2 Ag 0.704 0.296 0.250 1
Mo1 Mo 0.360 0.640 0.250 1
Mo2 Mo 0.640 0.360 0.750 1
O1 O 0.061 0.939 0.750 1
O2 O 0.231 0.744 0.417 1
O3 O 0.256 0.769 0.083 1
O4 O 0.280 0.328 0.143 1
O5 O 0.328 0.280 0.643 1
O6 O 0.672 0.720 0.357 1
O7 O 0.720 0.672 0.857 1
O8 O 0.744 0.231 0.917 1
O9 O 0.769 0.256 0.583 1
O10 O 0.939 0.061 0.250 1